(1)
The following is a PBE-GGA calculation of a relaxed Ta3B4W3 crystal, from the Alexandria database.

Computed properties:
**Distance to the lowest polymorph of the same formula**: 115 meV per atom
**DOS at the Fermi energy**: 0.464 states/eV/atom
**Energy of formation**: -0.46 eV/atom

a b c (Å): 3.2173 6.1578 6.1578
angles (deg): 89.89 90.00 90.00
Last column: nearest neighbours and their distance in Å.
Positions (direct):
Ta 0.0000 0.0000 0.0000  6 B 2.42-2.48
Ta 0.5000 0.3293 0.8259  4 B 2.46-2.50
Ta 0.5000 0.8259 0.3293  4 B 2.46-2.50
B 0.5000 0.2163 0.2163  1 B 1.93
B 0.5000 0.4372 0.4372  1 B 1.93
B 0.5000 0.7124 0.9393  1 B 1.97
B 0.5000 0.9393 0.7124  1 B 1.97
W 0.0000 0.1576 0.4980  6 B 2.39-2.48
W 0.0000 0.4980 0.1576  6 B 2.39-2.48
W 0.0000 0.6514 0.6514  6 B 2.42-2.46

***

(2)
The following is a PBE-GGA calculation of a relaxed CaEr2MgRh4 crystal, from the Alexandria database.

Computed properties:
**DOS at the Fermi energy**: 0.423 states/eV/atom
**Energy of formation**: -0.70 eV/atom

a b c (Å): 8.2081 8.2081 8.2081
angles (deg): 33.23 33.23 33.23
Last column: nearest neighbours and their distance in Å.
Positions (direct):
Ca 0.0000 0.0000 0.0000  8 Rh 2.91-2.97
Er 0.2467 0.2467 0.2467  8 Rh 2.76-3.08
Er 0.7533 0.7533 0.7533  8 Rh 2.76-3.08
Mg 0.5000 0.5000 0.5000  8 Rh 2.81-2.86
Rh 0.1279 0.1279 0.1279  4 Er 2.76-2.87, 3 Mg 2.86, 1 Ca 2.97
Rh 0.3793 0.3793 0.3793  1 Mg 2.81, 4 Er 2.87-3.08, 3 Ca 2.91
Rh 0.6207 0.6207 0.6207  1 Mg 2.81, 4 Er 2.87-3.08, 3 Ca 2.91
Rh 0.8721 0.8721 0.8721  4 Er 2.76-2.87, 3 Mg 2.86, 1 Ca 2.97

***

(3)
The following is a PBE-GGA calculation of a relaxed AsPbCl crystal, from the Alexandria database.

Computed properties:
**Distance to the lowest polymorph of the same formula**: 246 meV per atom
**Formation energy without anion corrections**: -0.14 eV per atom
**DOS at the Fermi energy**: 0.044 states/eV/atom

a b c (Å): 5.8913 5.8913 5.8913
angles (deg): 138.02 138.02 60.88
Last column: nearest neighbours and their distance in Å.
Positions (direct):
As 0.0000 0.0000 0.0000  1 Cl 2.36
Pb 0.4371 0.4371 0.0000  4 As 3.05, 1 Cl 3.35
Cl 0.7672 0.7672 0.0000  1 As 2.36

***

(4)
The following is a PBE-GGA calculation of a relaxed Hf2CuPd2 crystal, from the Alexandria database.

Computed properties:
**Distance to the lowest polymorph of the same formula**: 13 meV per atom
**DOS at the Fermi energy**: 0.781 states/eV/atom
**Energy of formation**: -0.44 eV/atom

a b c (Å): 7.1161 7.1161 7.1161
angles (deg): 132.11 65.49 138.10
Last column: nearest neighbours and their distance in Å.
Positions (direct):
Hf 0.1723 0.1979 0.3703  2 Cu 2.68, 4 Pd 2.72-2.81
Hf 0.3277 0.6979 0.0256  2 Cu 2.68, 4 Pd 2.72-2.81
Hf 0.6723 0.3021 0.9744  2 Cu 2.68, 4 Pd 2.72-2.81
Hf 0.8277 0.8021 0.6297  2 Cu 2.68, 4 Pd 2.72-2.81
Cu 0.2500 0.2500 0.0000  2 Cu 2.54, 4 Pd 2.65, 4 Hf 2.68
Cu 0.7500 0.7500 0.0000  2 Cu 2.54, 4 Pd 2.65, 4 Hf 2.68
Pd 0.1017 0.6576 0.7593  2 Cu 2.65, 4 Hf 2.72-2.81
Pd 0.3983 0.1576 0.5560  2 Cu 2.65, 4 Hf 2.72-2.81
Pd 0.6017 0.8424 0.4440  2 Cu 2.65, 4 Hf 2.72-2.81
Pd 0.8983 0.3424 0.2407  2 Cu 2.65, 4 Hf 2.72-2.81